Record 1
Here is a relaxed structure of TlIn2Ir from the Alexandria database. Energies are from GGA-PBE.

E_tot	-4.0427	eV per atom
DOS(E_F)	5.5	states/eV/cell
formation energy from the elements	133	meV per atom

a = 3.3489 Å, b = 3.3489 Å, c = 28.6401 Å
α = 90.00°, β = 90.00°, γ = 120.00°
Space group R-3m (No. 166, hexagonal axes)
Unique sites:
1 Tl 0.0000 0.0000 0.0000 (multiplicity 3)
2 In 0.0000 0.0000 0.2349 (multiplicity 6)
3 Ir 0.0000 0.0000 0.5000 (multiplicity 3)

Record 2
Here is a relaxed structure of LiPuSn4Rh2 from the Alexandria database. Energies are from GGA-PBE.

E_tot	-6.2808	eV per atom
DOS(E_F)	39.5	states/eV/cell
formation energy from the elements	-411	meV per atom

a = 4.5914 Å, b = 4.5914 Å, c = 26.7215 Å
α = 90.00°, β = 90.00°, γ = 120.00°
Space group R-3m (No. 166, hexagonal axes)
Unique sites:
1 Li 0.0000 0.0000 0.0000 (multiplicity 3)
2 Pu 0.0000 0.0000 0.5000 (multiplicity 3)
3 Sn 0.0000 0.0000 0.1068 (multiplicity 6)
4 Sn 0.0000 0.0000 0.3717 (multiplicity 6)
5 Rh 0.0000 0.0000 0.2678 (multiplicity 6)

Record 3
Here is a relaxed structure of RbMg14BO15 from the Alexandria database. Energies are from GGA-PBE.

formation energy from raw total energies	-68.93	eV/f.u.
E_tot	-5.5895	eV per atom
DOS(E_F)	1.3	states/eV/cell

a = 4.124 Å, b = 8.426 Å, c = 10.489 Å
α = 90.00°, β = 90.00°, γ = 90.00°
Space group Pmm2 (No. 25)
Unique sites:
1 Rb 0.000 0.000 0.000 (multiplicity 1)
2 Mg 0.000 0.000 0.463 (multiplicity 1)
3 Mg 0.000 0.243 0.667 (multiplicity 2)
4 Mg 0.000 0.245 0.266 (multiplicity 2)
5 Mg 0.000 0.500 0.952 (multiplicity 1)
6 Mg 0.500 0.000 0.264 (multiplicity 1)
7 Mg 0.500 0.000 0.672 (multiplicity 1)
8 Mg 0.500 0.246 0.866 (multiplicity 2)
9 Mg 0.500 0.254 0.454 (multiplicity 2)
10 Mg 0.500 0.500 0.224 (multiplicity 1)
11 Mg 0.500 0.500 0.623 (multiplicity 1)
12 B 0.000 0.500 0.438 (multiplicity 1)
13 O 0.000 0.000 0.258 (multiplicity 1)
14 O 0.000 0.000 0.654 (multiplicity 1)
15 O 0.000 0.245 0.458 (multiplicity 2)
16 O 0.000 0.296 0.861 (multiplicity 2)
17 O 0.000 0.500 0.299 (multiplicity 1)
18 O 0.500 0.000 0.460 (multiplicity 1)
19 O 0.500 0.000 0.862 (multiplicity 1)
20 O 0.500 0.247 0.245 (multiplicity 2)
21 O 0.500 0.268 0.664 (multiplicity 2)
22 O 0.500 0.500 0.016 (multiplicity 1)
23 O 0.500 0.500 0.438 (multiplicity 1)

Record 4
Here is a relaxed structure of Ti2Al2V from the Alexandria database. Energies are from GGA-PBE.

E_tot	-6.6134	eV per atom
DOS(E_F)	11.3	states/eV/cell
formation energy from the elements	-135	meV per atom

a = 6.946 Å, b = 6.946 Å, c = 3.384 Å
α = 90.00°, β = 90.00°, γ = 90.00°
Space group P4/mbm (No. 127)
Unique sites:
1 Ti 0.173 0.327 0.000 (multiplicity 4)
2 Al 0.129 0.629 0.500 (multiplicity 4)
3 V 0.000 0.000 0.500 (multiplicity 2)

Record 5
Here is a relaxed structure of ZrZnP from the Alexandria database. Energies are from GGA-PBE.

E_tot	-5.6220	eV per atom
DOS(E_F)	6.7	states/eV/cell
formation energy from the elements	-545	meV per atom

a = 4.3481 Å, b = 4.3481 Å, c = 21.2348 Å
α = 90.00°, β = 90.00°, γ = 120.00°
Space group R-3m (No. 166, hexagonal axes)
Unique sites:
1 Zr 0.0000 0.0000 0.0859 (multiplicity 6)
2 Zn 0.0000 0.0000 0.3296 (multiplicity 6)
3 P 0.0000 0.0000 0.2144 (multiplicity 6)

Record 6
Here is a relaxed structure of IrAu2F from the Alexandria database. Energies are from GGA-PBE.

formation energy from raw total energies	1.65	eV/f.u.
E_tot	-3.9097	eV per atom
DOS(E_F)	17.5	states/eV/cell

a = 7.003 Å, b = 7.003 Å, c = 5.415 Å
α = 90.00°, β = 90.00°, γ = 90.00°
Space group I-42d (No. 122)
Unique sites:
1 Ir 0.000 0.000 0.000 (multiplicity 4)
2 Au 0.229 0.750 0.625 (multiplicity 8)
3 F 0.000 0.000 0.500 (multiplicity 4)